Here is crystalline NaMn3Pd at its relaxed geometry from Alexandria via LeMat-Bulk. Energies are from GGA-PBEsol.

Lattice parameters (Å, degrees): 4.870 4.870 4.870 90.00 90.00 90.00
Element x y z (fractional)
Na 0.000 0.000 0.000
Mn 0.000 0.500 0.500
Mn 0.500 0.000 0.500
Mn 0.500 0.500 0.000
Pd 0.500 0.500 0.500

Results
Spin magnetization (μB per cell): 13.4
ΔE_f (eV/atom): 0.98
DFT total energy (eV per formula unit): -31.74